A relaxed Ba2AcWO6 crystal, computed with PBE with a Hubbard U.

Cell lengths 6.248, 6.221, 8.870 Å; angles 90.00, 90.62, 90.00 degrees
Positions (direct):
Ac 0.000 0.500 0.500
W 0.500 0.000 0.500
Ba 0.996 0.025 0.753
O 0.250 0.689 0.035
Ba 0.004 0.975 0.247
O 0.693 0.263 0.539
O 0.750 0.811 0.535
O 0.072 0.484 0.773
O 0.193 0.237 0.039
O 0.928 0.516 0.227
O 0.428 0.984 0.727
Ba 0.496 0.475 0.253
O 0.572 0.016 0.273
O 0.807 0.763 0.961
O 0.250 0.189 0.465
O 0.750 0.311 0.965
W 0.000 0.500 0.000
Ac 0.500 0.000 0.000
Ba 0.504 0.525 0.747
O 0.307 0.737 0.461

total DFT energy (no corrections) = -7.230 eV/atom
space group = P2_1/c, No. 14
density = 7.529 Mg/m³